# 1
Below is a relaxed structure of Sr3In2Au4, with properties calculated at the PBE level.

abc: 4.673 6.531 9.461
angles: 112.50 90.00 110.96
Fractional coordinates of all 9 atoms:
Sr  0.633  0.266  0.698
Sr  0.000  0.000  0.000
Sr  0.367  0.734  0.302
In  0.665  0.330  0.334
In  0.335  0.670  0.666
Au  0.718  0.437  0.067
Au  0.282  0.563  0.933
Au  0.917  0.834  0.578
Au  0.083  0.166  0.422

## Properties
- Symmetry: C2/m (12)
- DOS at the Fermi energy: 0.636 states/eV per atom
- Energy relative to the elements: -0.667 eV/atom



# 2
Below is a relaxed structure of SrIn2Au2, with properties calculated at the PBE level.

abc: 8.109 8.109 3.867
angles: 90.00 90.00 90.00
Fractional coordinates of all 10 atoms:
Sr  0.000  0.000  0.000
Sr  0.500  0.500  0.000
Au  0.368  0.868  0.000
Au  0.868  0.632  0.000
Au  0.632  0.132  0.000
Au  0.132  0.368  0.000
In  0.160  0.660  0.500
In  0.660  0.840  0.500
In  0.840  0.340  0.500
In  0.340  0.160  0.500

## Properties
- Symmetry: P4/mbm (127)
- DOS at the Fermi energy: 0.327 states/eV per atom
- Energy relative to the elements: -0.351 eV/atom



# 3
Below is a relaxed structure of SrInAu4, with properties calculated at the PBE level.

abc: 5.720 5.720 5.720
angles: 60.00 60.00 60.00
Fractional coordinates of all 6 atoms:
Au  0.126  0.625  0.625
Au  0.625  0.625  0.625
Au  0.625  0.126  0.625
Au  0.625  0.625  0.126
In  0.250  0.250  0.250
Sr  0.000  0.000  0.000

## Properties
- Symmetry: F-43m (216)
- DOS at the Fermi energy: 0.892 states/eV per atom
- Energy relative to the elements: -0.415 eV/atom



# 4
Below is a relaxed structure of Sr12InAu5, with properties calculated at the PBE level.

abc: 9.540 9.540 9.540
angles: 103.85 114.52 110.22
Fractional coordinates of all 18 atoms:
Sr  0.544  0.824  0.719
Sr  0.456  0.176  0.281
Sr  0.895  0.176  0.719
Sr  0.105  0.824  0.281
Sr  0.690  0.662  0.352
Sr  0.310  0.338  0.648
Sr  0.310  0.662  0.972
Sr  0.690  0.338  0.028
Sr  0.813  0.572  0.760
Sr  0.187  0.428  0.240
Sr  0.187  0.947  0.760
Sr  0.813  0.053  0.240
In  0.000  0.500  0.500
Au  0.671  0.671  0.000
Au  0.329  0.329  0.000
Au  0.500  0.127  0.627
Au  0.500  0.873  0.373
Au  0.000  0.000  0.000

## Properties
- Symmetry: Immm (71)
- DOS at the Fermi energy: 0.881 states/eV per atom
- Energy relative to the elements: -0.503 eV/atom



# 5
Below is a relaxed structure of SrIn4Au, with properties calculated at the PBE level.

abc: 6.178 6.178 6.178
angles: 60.00 60.00 60.00
Fractional coordinates of all 6 atoms:
Sr  0.750  0.750  0.750
In  0.876  0.375  0.375
In  0.375  0.375  0.876
In  0.375  0.876  0.375
In  0.375  0.375  0.375
Au  0.000  0.000  0.000

## Properties
- Symmetry: F-43m (216)
- DOS at the Fermi energy: 0.466 states/eV per atom
- Energy relative to the elements: -0.094 eV/atom



# 6
Below is a relaxed structure of SrIn2Au2, with properties calculated at the PBE level.

abc: 4.527 4.527 7.022
angles: 71.20 71.20 90.00
Fractional coordinates of all 5 atoms:
Sr  0.000  0.000  0.000
Au  0.390  0.390  0.220
Au  0.610  0.610  0.780
In  0.750  0.250  0.500
In  0.250  0.750  0.500

## Properties
- Symmetry: I4/mmm (139)
- DOS at the Fermi energy: 0.566 states/eV per atom
- Energy relative to the elements: -0.533 eV/atom



# 7
Below is a relaxed structure of SrIn2Au2, with properties calculated at the PBE level.

abc: 5.091 5.091 6.261
angles: 66.01 66.01 90.00
Fractional coordinates of all 5 atoms:
Sr  0.000  0.000  0.000
Au  0.750  0.250  0.500
Au  0.250  0.750  0.500
In  0.361  0.361  0.279
In  0.639  0.639  0.721

## Properties
- Symmetry: I4/mmm (139)
- DOS at the Fermi energy: 0.412 states/eV per atom
- Energy relative to the elements: -0.476 eV/atom



# 8
Below is a relaxed structure of Sr4In5Au6, with properties calculated at the PBE level.

abc: 4.525 11.172 16.768
angles: 90.00 90.00 101.68
Fractional coordinates of all 30 atoms:
Sr  0.964  0.928  0.273
Sr  0.036  0.072  0.773
Sr  0.162  0.325  0.303
Sr  0.838  0.675  0.803
Sr  0.816  0.632  0.445
Sr  0.184  0.368  0.945
Sr  0.009  0.018  0.511
Sr  0.991  0.982  0.011
In  0.447  0.894  0.673
In  0.553  0.106  0.173
In  0.153  0.306  0.628
In  0.847  0.694  0.128
In  0.640  0.280  0.477
In  0.360  0.720  0.977
In  0.305  0.609  0.615
In  0.695  0.391  0.115
In  0.338  0.676  0.277
In  0.662  0.324  0.777
Au  0.764  0.528  0.258
Au  0.427  0.853  0.406
Au  0.782  0.564  0.985
Au  0.218  0.436  0.485
Au  0.446  0.893  0.851
Au  0.554  0.107  0.351
Au  0.424  0.849  0.133
Au  0.576  0.151  0.633
Au  0.116  0.233  0.120
Au  0.884  0.767  0.620
Au  0.573  0.147  0.906
Au  0.236  0.472  0.758

## Properties
- Symmetry: Cmc2_1 (36)
- DOS at the Fermi energy: 0.514 states/eV per atom
- Energy relative to the elements: -0.559 eV/atom